Entry 1:
Below is a crystal of BaPbSe2 relaxed with PBEsol, with properties calculated at the meta-GGA SCAN level.

Calculated values
**M_tot**: 0.0 μB/f.u.
**Calculated volume**: 32.40 A^3/atom
**DFT total energy**: -40.29 eV per atom
**Space group**: P4mm, No. 99

Cell: 4.4917 4.4917 6.4232 Å, 90.00 90.00 90.00°
With the nearest neighbours (Å) after each atom.
Element x y z (fractional)
Pb (0.5000, 0.5000, 0.8985)  5 Se 2.88-3.18
Ba (0.0000, 0.0000, 0.3765)  6 Se 3.18-3.22
Se (0.0000, 0.0000, 0.8781)  4 Pb 3.18, 2 Ba 3.20-3.22
Se (0.5000, 0.5000, 0.3470)  1 Pb 2.88, 4 Ba 3.18



Entry 2:
Below is a crystal of BaPbSe2 relaxed with PBEsol, with properties calculated at the meta-GGA SCAN level.

Calculated values
**M_tot**: 0.0 μB/f.u.
**Calculated volume**: 30.53 A^3/atom
**DFT total energy**: -40.28 eV per atom
**Space group**: Cm, No. 8

Cell: 4.2655 4.7256 6.4226 Å, 90.11 109.39 90.00°
With the nearest neighbours (Å) after each atom.
Element x y z (fractional)
Pb (0.7591, 0.1032, 0.5181)  1 Se 2.71
Ba (0.5162, 0.6238, 0.0324)  7 Se 3.21-3.47
Se (0.9823, 0.1241, 0.9647)  1 Pb 2.71
Se (0.2424, 0.6489, 0.4848)  4 Pb 3.03-3.35, 1 Ba 3.32